Sc3TlPt2, relaxed, DFT PBE; energy = -6.489 eV/atom; M_tot = 0.001 Bohr magnetons per cell; calculated density = 10.250 Mg/m³
1.0
3.315 0.000 0.000
0.000 3.315 0.000
0.000 0.000 10.755
Pt Sc Tl
2 3 1
direct
0.000 0.000 0.156
0.000 0.000 0.844
0.500 0.500 0.000
0.500 0.500 0.302
0.500 0.500 0.698
0.000 0.000 0.500

=====

LuBiAsO, relaxed, DFT PBE; energy = -5.770 eV/atom; M_tot = 0.009 Bohr magnetons per cell; calculated density = 7.905 Mg/m³
1.0
4.880 0.000 0.000
0.000 6.449 0.000
0.000 0.000 6.339
As Bi Lu O
2 2 2 2
direct
0.000 0.813 0.399
0.000 0.187 0.899
0.000 0.254 0.430
0.000 0.746 0.930
0.500 0.347 0.048
0.500 0.653 0.548
0.500 0.378 0.377
0.500 0.622 0.877

=====

SrScAuSeS2, relaxed, DFT PBE; energy = -5.213 eV/atom; M_tot = 0.008 Bohr magnetons per cell; calculated density = 5.695 Mg/m³
1.0
1.977 -6.744 0.000
1.977 6.744 0.000
0.000 0.000 10.336
Au S Sc Se Sr
2 4 2 2 2
direct
0.948 0.052 0.250
0.052 0.948 0.750
0.870 0.130 0.040
0.870 0.130 0.460
0.130 0.870 0.540
0.130 0.870 0.960
0.500 0.500 0.000
0.500 0.500 0.500
0.585 0.415 0.250
0.415 0.585 0.750
0.257 0.743 0.250
0.743 0.257 0.750

=====

Y2BeCuGe2, relaxed, DFT PBE; energy = -5.584 eV/atom; M_tot = 0.008 Bohr magnetons per cell; calculated density = 5.773 Mg/m³
1.0
4.026 0.000 0.000
-2.013 3.486 0.000
0.000 0.000 8.109
Be Cu Ge Y
1 1 2 2
direct
0.000 0.000 0.000
0.333 0.667 0.500
0.333 0.667 0.000
0.000 0.000 0.500
0.667 0.333 0.250
0.667 0.333 0.750

=====

Ba2CdOsS6, relaxed, DFT PBE; energy = -4.823 eV/atom; M_tot = 2.237 Bohr magnetons per cell; calculated density = 5.273 Mg/m³
1.0
-4.693 -5.181 -0.337
-3.042 2.371 5.841
0.892 4.278 -5.468
Ba Cd Os S
2 1 1 6
direct
0.750 0.250 0.500
0.250 0.750 0.500
0.500 0.500 0.000
0.000 0.000 0.000
0.238 0.238 0.000
0.762 0.238 0.000
0.238 0.762 0.000
0.762 0.762 0.000
0.238 0.238 0.476
0.762 0.762 0.524

=====

AcZnSn, relaxed, DFT PBE; energy = -3.134 eV/atom; M_tot = 0.003 Bohr magnetons per cell; calculated density = 6.336 Mg/m³
1.0
-3.472 -3.690 1.690
-3.969 -1.596 -3.198
0.078 -4.906 -2.110
Ac Sn Zn
1 1 1
direct
0.000 0.000 0.000
0.250 0.250 0.250
0.750 0.750 0.750

=====

KLuO3, relaxed, DFT PBE; energy = -6.049 eV/atom; M_tot = 2.000 Bohr magnetons per cell; calculated density = 5.515 Mg/m³
1.0
-0.127 -2.188 3.669
4.132 -0.993 -0.450
1.095 3.573 2.168
K Lu O
1 1 3
direct
0.000 0.000 0.082
0.500 0.500 0.577
0.500 0.500 0.077
0.500 0.000 0.583
0.000 0.500 0.583

=====

LuCoAgSn, relaxed, DFT PBE; energy = -4.818 eV/atom; M_tot = 0.687 Bohr magnetons per cell; calculated density = 10.402 Mg/m³
1.0
1.658 -2.026 3.906
-0.711 2.027 4.183
-2.971 -1.947 3.081
Ag Co Lu Sn
1 1 1 1
direct
0.250 0.250 0.250
0.750 0.750 0.750
0.500 0.500 0.500
0.000 0.000 0.000

=====

Zr4CoBiC2, relaxed, DFT PBE; energy = -8.458 eV/atom; M_tot = 0.575 Bohr magnetons per cell; calculated density = 7.963 Mg/m³
1.0
3.372 0.000 0.000
-1.686 2.920 0.000
0.000 0.000 13.910
Bi C Co Zr
1 2 1 4
direct
0.000 0.000 0.000
0.333 0.667 0.267
0.333 0.667 0.733
0.667 0.333 0.500
0.667 0.333 0.179
0.000 0.000 0.364
0.000 0.000 0.636
0.667 0.333 0.821

=====

CoCuB4, relaxed, DFT PBE; energy = -6.014 eV/atom; M_tot = 0.370 Bohr magnetons per cell; calculated density = 5.598 Mg/m³
1.0
2.968 0.000 0.000
-1.484 2.571 0.000
0.000 0.000 6.442
B Co Cu
4 1 1
direct
0.667 0.333 0.225
0.333 0.667 0.225
0.667 0.333 0.775
0.333 0.667 0.775
0.000 0.000 0.000
0.000 0.000 0.500

=====

KFe3Sb5, relaxed, DFT PBE; energy = -5.264 eV/atom; M_tot = 6.486 Bohr magnetons per cell; calculated density = 5.994 Mg/m³
1.0
5.384 0.000 0.000
-2.692 4.663 0.000
0.000 0.000 8.998
Fe K Sb
3 1 5
direct
0.500 0.000 0.500
0.000 0.500 0.500
0.500 0.500 0.500
0.000 0.000 0.000
0.667 0.333 0.257
0.333 0.667 0.257
0.000 0.000 0.500
0.667 0.333 0.743
0.333 0.667 0.743

=====

HoTm2Mg3InGa2, relaxed, DFT PBE; energy = -3.438 eV/atom; M_tot = 0.001 Bohr magnetons per cell; calculated density = 6.665 Mg/m³
1.0
-0.114 -2.686 -3.643
-1.397 -5.720 4.261
-5.463 3.939 -2.734
Ga Ho In Mg Tm
2 1 1 3 2
direct
0.500 0.667 0.332
0.500 0.332 0.667
0.000 0.561 0.561
0.000 0.001 0.001
0.500 0.750 0.000
0.500 0.250 0.250
0.500 0.000 0.750
0.000 0.000 0.438
0.000 0.438 0.000